[1]
A geometry-optimized SrTlBi2 structure. Source: the Alexandria database, functional PBEsol.

Values from the calculation:
N(E_F)	11.1	states/eV per cell
formation energy	-0.298	eV per atom

Geometry as CIF:
```
data_SrTlBi2
_symmetry_space_group_name_H-M 'F m -3 m'
_symmetry_Int_Tables_number 225
_symmetry_space_group_name_Hall '-F 4 2 3'
_cell_length_a 7.999
_cell_length_b 7.999
_cell_length_c 7.999
_cell_angle_alpha 90.00
_cell_angle_beta 90.00
_cell_angle_gamma 90.00
loop_
_atom_site_label
_atom_site_type_symbol
_atom_site_fract_x
_atom_site_fract_y
_atom_site_fract_z
Sr1 Sr 0.000 0.000 0.000
Tl1 Tl 0.000 0.000 0.500
Bi1 Bi 0.250 0.250 0.250
```



[2]
A geometry-optimized Sr3BiW structure. Source: the Alexandria database, functional PBEsol.

Values from the calculation:
N(E_F)	5.8	states/eV per cell
formation energy	0.811	eV per atom

Geometry as CIF:
```
data_Sr3BiW
_symmetry_space_group_name_H-M 'P m -3 m'
_symmetry_Int_Tables_number 221
_symmetry_space_group_name_Hall '-P 4 2 3'
_cell_length_a 5.636
_cell_length_b 5.636
_cell_length_c 5.636
_cell_angle_alpha 90.00
_cell_angle_beta 90.00
_cell_angle_gamma 90.00
loop_
_atom_site_label
_atom_site_type_symbol
_atom_site_fract_x
_atom_site_fract_y
_atom_site_fract_z
Sr1 Sr 0.000 0.000 0.500
Bi1 Bi 0.500 0.500 0.500
W1 W 0.000 0.000 0.000
```



[3]
A geometry-optimized SrY3Bi structure. Source: the Alexandria database, functional PBEsol.

Values from the calculation:
N(E_F)	10.1	states/eV per cell
formation energy	0.117	eV per atom

Geometry as CIF:
```
data_SrY3Bi
_symmetry_space_group_name_H-M 'P m -3 m'
_symmetry_Int_Tables_number 221
_symmetry_space_group_name_Hall '-P 4 2 3'
_cell_length_a 5.865
_cell_length_b 5.865
_cell_length_c 5.865
_cell_angle_alpha 90.00
_cell_angle_beta 90.00
_cell_angle_gamma 90.00
loop_
_atom_site_label
_atom_site_type_symbol
_atom_site_fract_x
_atom_site_fract_y
_atom_site_fract_z
Sr1 Sr 0.000 0.000 0.000
Y1 Y 0.000 0.500 0.500
Bi1 Bi 0.500 0.500 0.500
```



[4]
A geometry-optimized SrZnBi2 structure. Source: the Alexandria database, functional PBEsol.

Values from the calculation:
N(E_F)	3.1	states/eV per cell
formation energy	-0.376	eV per atom

Geometry as CIF:
```
data_SrZnBi2
_symmetry_space_group_name_H-M 'I -4 2 d'
_symmetry_Int_Tables_number 122
_symmetry_space_group_name_Hall 'I -4 2bw'
_cell_length_a 8.433
_cell_length_b 8.433
_cell_length_c 6.595
_cell_angle_alpha 90.00
_cell_angle_beta 90.00
_cell_angle_gamma 90.00
loop_
_atom_site_label
_atom_site_type_symbol
_atom_site_fract_x
_atom_site_fract_y
_atom_site_fract_z
Sr1 Sr 0.000 0.000 0.000
Zn1 Zn 0.000 0.000 0.500
Bi1 Bi 0.193 0.750 0.625
```



[5]
A geometry-optimized SrZnBi2 structure. Source: the Alexandria database, functional PBEsol.

Values from the calculation:
N(E_F)	3.7	states/eV per cell
formation energy	-0.453	eV per atom

Geometry as CIF:
```
data_SrZnBi2
_symmetry_space_group_name_H-M 'I 4/m m m'
_symmetry_Int_Tables_number 139
_symmetry_space_group_name_Hall '-I 4 2'
_cell_length_a 4.559
_cell_length_b 4.559
_cell_length_c 21.892
_cell_angle_alpha 90.00
_cell_angle_beta 90.00
_cell_angle_gamma 90.00
loop_
_atom_site_label
_atom_site_type_symbol
_atom_site_fract_x
_atom_site_fract_y
_atom_site_fract_z
Sr1 Sr 0.000 0.000 0.123
Zn1 Zn 0.000 0.500 0.250
Bi1 Bi 0.000 0.000 0.330
Bi2 Bi 0.000 0.500 0.000
```



[6]
A geometry-optimized Sr2ZnBi2 structure. Source: the Alexandria database, functional PBEsol.

Values from the calculation:
N(E_F)	2.2	states/eV per cell
formation energy	-0.342	eV per atom

Geometry as CIF:
```
data_Sr2ZnBi2
_symmetry_space_group_name_H-M 'I 4/m m m'
_symmetry_Int_Tables_number 139
_symmetry_space_group_name_Hall '-I 4 2'
_cell_length_a 6.615
_cell_length_b 6.615
_cell_length_c 8.994
_cell_angle_alpha 90.00
_cell_angle_beta 90.00
_cell_angle_gamma 90.00
loop_
_atom_site_label
_atom_site_type_symbol
_atom_site_fract_x
_atom_site_fract_y
_atom_site_fract_z
Sr1 Sr 0.000 0.500 0.250
Zn1 Zn 0.000 0.000 0.000
Bi1 Bi 0.000 0.000 0.298
```



[7]
A geometry-optimized Ta3TcBi structure. Source: the Alexandria database, functional PBEsol.

Values from the calculation:
N(E_F)	4.5	states/eV per cell
formation energy	1.037	eV per atom

Geometry as CIF:
```
data_Ta3TcBi
_symmetry_space_group_name_H-M 'P m -3 m'
_symmetry_Int_Tables_number 221
_symmetry_space_group_name_Hall '-P 4 2 3'
_cell_length_a 4.810
_cell_length_b 4.810
_cell_length_c 4.810
_cell_angle_alpha 90.00
_cell_angle_beta 90.00
_cell_angle_gamma 90.00
loop_
_atom_site_label
_atom_site_type_symbol
_atom_site_fract_x
_atom_site_fract_y
_atom_site_fract_z
Ta1 Ta 0.000 0.000 0.500
Tc1 Tc 0.000 0.000 0.000
Bi1 Bi 0.500 0.500 0.500
```



[8]
A geometry-optimized TaTcBi2 structure. Source: the Alexandria database, functional PBEsol.

Values from the calculation:
N(E_F)	16.7	states/eV per cell
formation energy	0.977	eV per atom

Geometry as CIF:
```
data_TaTcBi2
_symmetry_space_group_name_H-M 'I -4 2 d'
_symmetry_Int_Tables_number 122
_symmetry_space_group_name_Hall 'I -4 2bw'
_cell_length_a 4.271
_cell_length_b 4.271
_cell_length_c 19.625
_cell_angle_alpha 90.00
_cell_angle_beta 90.00
_cell_angle_gamma 90.00
loop_
_atom_site_label
_atom_site_type_symbol
_atom_site_fract_x
_atom_site_fract_y
_atom_site_fract_z
Ta1 Ta 0.000 0.000 0.000
Tc1 Tc 0.000 0.000 0.500
Bi1 Bi 0.244 0.250 0.625
```



[9]
A geometry-optimized TaTi2TcBi structure. Source: the Alexandria database, functional PBEsol.

Values from the calculation:
N(E_F)	6.2	states/eV per cell
formation energy	1.594	eV per atom

Geometry as CIF:
```
data_TaTi2TcBi
_symmetry_space_group_name_H-M 'P 4/m m m'
_symmetry_Int_Tables_number 123
_symmetry_space_group_name_Hall '-P 4 2'
_cell_length_a 4.691
_cell_length_b 4.691
_cell_length_c 5.247
_cell_angle_alpha 90.00
_cell_angle_beta 90.00
_cell_angle_gamma 90.00
loop_
_atom_site_label
_atom_site_type_symbol
_atom_site_fract_x
_atom_site_fract_y
_atom_site_fract_z
Ta1 Ta 0.000 0.000 0.000
Ti1 Ti 0.000 0.500 0.000
Tc1 Tc 0.500 0.500 0.500
Bi1 Bi 0.000 0.000 0.500
```



[10]
A geometry-optimized TaTiBi3 structure. Source: the Alexandria database, functional PBEsol.

Values from the calculation:
N(E_F)	6.9	states/eV per cell
formation energy	1.144	eV per atom

Geometry as CIF:
```
data_TaTiBi3
_symmetry_space_group_name_H-M 'P m -3 m'
_symmetry_Int_Tables_number 221
_symmetry_space_group_name_Hall '-P 4 2 3'
_cell_length_a 5.253
_cell_length_b 5.253
_cell_length_c 5.253
_cell_angle_alpha 90.00
_cell_angle_beta 90.00
_cell_angle_gamma 90.00
loop_
_atom_site_label
_atom_site_type_symbol
_atom_site_fract_x
_atom_site_fract_y
_atom_site_fract_z
Ta1 Ta 0.000 0.000 0.000
Ti1 Ti 0.500 0.500 0.500
Bi1 Bi 0.000 0.500 0.500
```



[11]
A geometry-optimized Ta3ZnBi structure. Source: the Alexandria database, functional PBEsol.

Values from the calculation:
N(E_F)	7.2	states/eV per cell
formation energy	1.248	eV per atom

Geometry as CIF:
```
data_Ta3ZnBi
_symmetry_space_group_name_H-M 'P m -3 m'
_symmetry_Int_Tables_number 221
_symmetry_space_group_name_Hall '-P 4 2 3'
_cell_length_a 4.714
_cell_length_b 4.714
_cell_length_c 4.714
_cell_angle_alpha 90.00
_cell_angle_beta 90.00
_cell_angle_gamma 90.00
loop_
_atom_site_label
_atom_site_type_symbol
_atom_site_fract_x
_atom_site_fract_y
_atom_site_fract_z
Ta1 Ta 0.000 0.000 0.500
Zn1 Zn 0.000 0.000 0.000
Bi1 Bi 0.500 0.500 0.500
```



[12]
A geometry-optimized TbBi structure. Source: the Alexandria database, functional PBEsol.

Values from the calculation:
N(E_F)	1.2	states/eV per cell
formation energy	-0.914	eV per atom

Geometry as CIF:
```
data_TbBi
_symmetry_space_group_name_H-M 'F m -3 m'
_symmetry_Int_Tables_number 225
_symmetry_space_group_name_Hall '-F 4 2 3'
_cell_length_a 6.244
_cell_length_b 6.244
_cell_length_c 6.244
_cell_angle_alpha 90.00
_cell_angle_beta 90.00
_cell_angle_gamma 90.00
loop_
_atom_site_label
_atom_site_type_symbol
_atom_site_fract_x
_atom_site_fract_y
_atom_site_fract_z
Tb1 Tb 0.000 0.000 0.000
Bi1 Bi 0.000 0.000 0.500
```